Entry 1:
## Ti3Ni12W (PBE)

Data for crystalline Ti3Ni12W at its relaxed geometry.

Results
**Uncorrected energy**: -6.94 eV/atom
**ρ**: 9029 kg/m³
**Space group**: P4/mmm, No. 123
**Energy relative to the elements**: -0.310 eV per atom

Geometry as extended XYZ:
```
16
Lattice="3.620 0.000 0.000 0.000 3.620 0.000 0.000 0.000 14.477" Properties=species:S:1:pos:R:3 pbc="T T T"
Ti 0.000 0.000 0.000
Ti 0.000 0.000 3.582
Ti 0.000 0.000 10.895
Ni 0.000 1.810 1.800
Ni 0.000 1.810 5.420
Ni 0.000 1.810 9.057
Ni 0.000 1.810 12.677
Ni 1.810 0.000 1.800
Ni 1.810 0.000 5.420
Ni 1.810 0.000 9.057
Ni 1.810 0.000 12.677
Ni 1.810 1.810 0.000
Ni 1.810 1.810 3.613
Ni 1.810 1.810 7.239
Ni 1.810 1.810 10.864
W 0.000 0.000 7.239
```

=====

Entry 2:
## SClO (PBE)

Data for crystalline SClO at its relaxed geometry.

Results
**Uncorrected energy**: -3.74 eV/atom
**ρ**: 1424 kg/m³
**Space group**: P1, No. 1
**Formation energy without anion corrections**: -0.100 eV per atom

Geometry as extended XYZ:
```
6
Lattice="5.003 0.000 0.000 -0.855 6.235 0.000 -1.768 -1.562 6.242" Properties=species:S:1:pos:R:3 pbc="T T T"
S 0.000 0.000 0.000
S -0.687 -1.045 4.733
Cl 0.222 4.929 1.251
Cl 0.514 0.607 5.229
O 2.316 2.647 2.900
O 3.119 1.761 2.593
```

=====

Entry 3:
## In3Ga12Hg5 (PBE)

Data for crystalline In3Ga12Hg5 at its relaxed geometry.

Results
**Uncorrected energy**: -2.13 eV/atom
**ρ**: 6944 kg/m³
**Space group**: Ia-3d, No. 230
**Energy relative to the elements**: 0.173 eV per atom

Geometry as extended XYZ:
```
80
Lattice="-8.053 8.053 8.053 8.053 -8.053 8.053 8.053 8.053 -8.053" Properties=species:S:1:pos:R:3 pbc="T T T"
In 4.027 2.013 0.000
In 8.053 4.027 -2.013
In 2.013 0.000 4.027
In 10.066 0.000 4.027
In 0.000 4.027 2.013
In 4.027 -2.013 8.053
In 4.027 10.066 0.000
In 8.053 4.027 6.040
In -2.013 8.053 4.027
In 6.040 8.053 4.027
In 0.000 4.027 10.066
In 4.027 6.040 8.053
Ga 2.474 -0.192 1.259
Ga 9.605 5.285 -4.218
Ga 7.861 -1.259 2.474
Ga 12.271 -1.552 2.768
Ga 10.527 0.192 1.259
Ga 9.605 -2.768 4.218
Ga 1.259 2.474 -0.192
Ga 10.821 3.835 -1.552
Ga 5.285 4.218 -1.552
Ga 6.794 2.474 0.192
Ga -0.192 1.259 2.474
Ga 4.218 -1.552 5.285
Ga 7.861 6.794 -2.474
Ga 4.218 1.552 2.768
Ga 6.794 -2.474 7.861
Ga 5.285 -4.218 9.605
Ga 2.768 4.218 1.552
Ga 9.312 5.579 0.192
Ga 2.474 7.861 -1.259
Ga 9.605 2.768 3.835
Ga 4.218 9.605 -2.768
Ga 7.861 1.259 5.579
Ga 1.552 2.768 4.218
Ga 2.474 0.192 6.794
Ga 5.579 7.861 1.259
Ga 6.501 5.285 3.835
Ga 0.192 6.794 2.474
Ga 3.835 -1.552 10.821
Ga -1.552 5.285 4.218
Ga 5.579 0.192 9.312
Ga -1.259 2.474 7.861
Ga 5.285 3.835 6.501
Ga 2.768 12.271 -1.552
Ga 1.259 10.527 0.192
Ga 3.835 6.501 5.285
Ga 0.192 1.259 10.527
Ga 3.835 9.605 2.768
Ga 8.245 6.794 5.579
Ga 1.259 5.579 7.861
Ga 2.768 3.835 9.605
Ga -2.768 4.218 9.605
Ga 6.794 5.579 8.245
Ga -1.552 10.821 3.835
Ga -2.474 7.861 6.794
Ga -4.218 9.605 5.285
Ga 0.192 9.312 5.579
Ga -1.552 2.768 12.271
Ga 5.579 8.245 6.794
Hg 0.000 0.000 0.000
Hg 4.027 4.027 -4.027
Hg 4.027 -4.027 4.027
Hg 8.053 0.000 0.000
Hg 12.080 2.013 0.000
Hg 8.053 -4.027 6.040
Hg 6.040 8.053 -4.027
Hg 6.040 0.000 4.027
Hg 4.027 6.040 0.000
Hg 8.053 4.027 2.013
Hg -4.027 4.027 4.027
Hg 0.000 8.053 0.000
Hg 0.000 0.000 8.053
Hg 4.027 4.027 4.027
Hg 0.000 4.027 6.040
Hg 4.027 2.013 8.053
Hg 2.013 8.053 4.027
Hg 2.013 0.000 12.080
Hg 0.000 12.080 2.013
Hg -4.027 6.040 8.053
```

=====

Entry 4:
## Pm6Dy7Tm16 (PBE)

Data for crystalline Pm6Dy7Tm16 at its relaxed geometry.

Results
**Uncorrected energy**: -4.31 eV/atom
**ρ**: 8130 kg/m³
**Space group**: Fm-3m, No. 225
**Energy relative to the elements**: 0.247 eV per atom

Geometry as extended XYZ:
```
29
Lattice="0.000 7.835 7.835 7.835 0.000 7.835 7.835 7.835 0.000" Properties=species:S:1:pos:R:3 pbc="T T T"
Pm 7.835 7.835 3.460
Pm 7.835 3.460 7.835
Pm 12.211 7.835 7.835
Pm 3.460 7.835 7.835
Pm 7.835 12.211 7.835
Pm 7.835 7.835 12.211
Dy 3.918 3.918 0.000
Dy 3.918 0.000 3.918
Dy 7.835 3.918 3.918
Dy 0.000 3.918 3.918
Dy 3.918 7.835 3.918
Dy 3.918 3.918 7.835
Dy 7.835 7.835 7.835
Tm 9.775 5.896 5.896
Tm 2.405 2.405 2.405
Tm 5.431 5.431 2.405
Tm 5.431 2.405 5.431
Tm 5.896 5.896 5.896
Tm 9.775 9.775 5.896
Tm 9.775 5.896 9.775
Tm 13.266 10.240 10.240
Tm 2.405 5.431 5.431
Tm 5.896 9.775 5.896
Tm 5.896 5.896 9.775
Tm 9.775 9.775 9.775
Tm 10.240 13.266 10.240
Tm 10.240 10.240 13.266
Tm 13.266 13.266 13.266
Tm 5.896 9.775 9.775
```

=====

Entry 5:
## Ce4Y3ErTe8 (PBE)

Data for crystalline Ce4Y3ErTe8 at its relaxed geometry.

Results
**Uncorrected energy**: -5.89 eV/atom
**ρ**: 6839 kg/m³
**Space group**: R-3m, No. 166
**Formation energy without anion corrections**: -1.340 eV per atom

Geometry as extended XYZ:
```
16
Lattice="4.384 2.531 7.349 -4.384 2.531 7.349 0.000 -5.062 7.349" Properties=species:S:1:pos:R:3 pbc="T T T"
Ce 0.000 0.000 0.000
Ce -2.192 -1.266 7.349
Ce -2.192 1.266 14.698
Ce 0.000 2.531 7.349
Y -4.384 0.000 11.024
Y -2.192 1.266 3.675
Y 2.192 1.266 3.675
Er 0.000 0.000 11.024
Te 0.000 0.000 5.434
Te -2.180 -1.259 12.773
Te 0.000 -2.517 9.275
Te -2.180 1.259 9.275
Te 2.180 -1.259 12.773
Te 0.000 2.517 12.773
Te 2.180 1.259 9.275
Te 0.000 0.000 16.614
```